# 1
Computed, not measured: an optimized crystal structure of BeOs4 at the PBE-GGA level of DFT.

abc: 6.4480 6.4480 6.4480
angles: 146.39 146.39 48.26
With the nearest neighbours (Å) after each atom.
Sites, in units of the cell vectors:
Be  0.0000  0.0000  0.0000  8 Os 2.89
Os  0.2500  0.7500  0.5000  8 Os 2.56-2.64
Os  0.3987  0.3987  0.0000  5 Os 2.38-2.56
Os  0.6013  0.6013  0.0000  5 Os 2.38-2.56
Os  0.7500  0.2500  0.5000  8 Os 2.56-2.64

ΔH_f (0 K) = 0.89 eV per atom
Space-group type = I4/mmm (139)
VASP energy = -8.838 eV per atom
Magnetic moment = 0.00 μB per formula unit
Energy relative to the lowest polymorph listed for this composition = 320.6 kJ/mol of formula units

=====

# 2
Computed, not measured: an optimized crystal structure of BaTcCl2 at the PBE-GGA level of DFT.

abc: 5.0323 4.0108 5.0605
angles: 90.00 97.43 90.00
With the nearest neighbours (Å) after each atom.
Sites, in units of the cell vectors:
Ba  0.0000  0.0000  0.0000  4 Cl 3.09, 2 Tc 3.33
Tc  0.5000  0.0000  0.5000  4 Cl 2.47
Cl  0.3108  0.5000  0.6901  2 Tc 2.47
Cl  0.6892  0.5000  0.3099  2 Tc 2.47

Space-group type = P2/m (10)
VASP energy = -4.492 eV per atom
Magnetic moment = 1.01 μB per formula unit
Energy relative to the lowest polymorph listed for this composition = 34.6 kJ/mol of formula units
Raw formation energy = -497 meV/atom

=====

# 3
Computed, not measured: an optimized crystal structure of Tb4Pm5Pb2 at the PBE-GGA level of DFT.

abc: 15.7874 15.7874 15.7874
angles: 19.54 19.54 19.54
With the nearest neighbours (Å) after each atom.
Sites, in units of the cell vectors:
Tb  0.0729  0.0729  0.0729  3 Pb 3.27, 2 Pm 3.39-3.46, 3 Tb 3.48
Tb  0.2263  0.2263  0.2263  3 Tb 3.48, 5 Pm 3.62-3.66
Tb  0.7737  0.7737  0.7737  3 Tb 3.48, 5 Pm 3.62-3.66
Tb  0.9271  0.9271  0.9271  3 Pb 3.27, 2 Pm 3.39-3.46, 3 Tb 3.48
Pm  0.0000  0.0000  0.0000  6 Pm 3.37, 2 Tb 3.39
Pm  0.1475  0.1475  0.1475  5 Tb 3.46-3.66, 3 Pm 3.57
Pm  0.3043  0.3043  0.3043  3 Pb 3.25, 3 Pm 3.37, 1 Tb 3.63
Pm  0.6957  0.6957  0.6957  3 Pb 3.25, 3 Pm 3.37, 1 Tb 3.63
Pm  0.8525  0.8525  0.8525  5 Tb 3.46-3.66, 3 Pm 3.57
Pb  0.3836  0.3836  0.3836  3 Pm 3.25, 3 Tb 3.27
Pb  0.6164  0.6164  0.6164  3 Pm 3.25, 3 Tb 3.27

ΔH_f (0 K) = 0.19 eV per atom
Space-group type = R-3m (166)
VASP energy = -4.330 eV per atom
Magnetic moment = 0.60 μB per formula unit

=====

# 4
Computed, not measured: an optimized crystal structure of TcHg2Br8 at the PBE-GGA level of DFT.

abc: 9.0667 9.0667 6.6967
angles: 95.83 95.83 48.58
With the nearest neighbours (Å) after each atom.
Sites, in units of the cell vectors:
Tc  0.0000  0.0000  0.0000  6 Br 2.52-2.57
Hg  0.1613  0.1613  0.4863  2 Br 2.52-2.66
Hg  0.8387  0.8387  0.5137  2 Br 2.52-2.66
Br  0.1412  0.1412  0.8751  1 Tc 2.57, 1 Hg 2.66
Br  0.1868  0.7116  0.7501  1 Tc 2.52
Br  0.2884  0.8132  0.2499  1 Tc 2.52
Br  0.2997  0.2997  0.3607  1 Hg 2.52
Br  0.7003  0.7003  0.6393  1 Hg 2.52
Br  0.7116  0.1868  0.7501  1 Tc 2.52
Br  0.8132  0.2884  0.2499  1 Tc 2.52
Br  0.8588  0.8588  0.1249  1 Tc 2.57, 1 Hg 2.66

Space-group type = C2/m (12)
VASP energy = -2.579 eV per atom
Magnetic moment = 2.91 μB per formula unit
Raw formation energy = -365 meV/atom

=====

# 5
Computed, not measured: an optimized crystal structure of La8CoSn2 at the PBE-GGA level of DFT.

abc: 9.8013 9.8013 6.8450
angles: 109.38 109.38 33.41
With the nearest neighbours (Å) after each atom.
Sites, in units of the cell vectors:
La  0.0026  0.0026  0.2205  3 La 2.99-3.27, 2 Co 3.19
La  0.2179  0.2179  0.1746  4 La 3.37-3.58, 4 Sn 3.40-3.65
La  0.3568  0.3568  0.6460  1 Co 2.93
La  0.4138  0.4138  0.2182  1 Co 2.56
La  0.5863  0.5863  0.7818  1 Co 2.56
La  0.6432  0.6432  0.3540  1 Co 2.93
La  0.7821  0.7821  0.8254  4 La 3.37-3.58, 4 Sn 3.40-3.65
La  0.9974  0.9974  0.7795  3 La 2.99-3.27, 2 Co 3.19
Co  0.5000  0.5000  0.0000  2 La 2.56
Sn  0.1696  0.1696  0.6479  11 La 3.40-3.65
Sn  0.8304  0.8304  0.3521  11 La 3.40-3.65

ΔH_f (0 K) = -0.35 eV per atom
Space-group type = C2/m (12)
VASP energy = -5.310 eV per atom
Magnetic moment = 0.00 μB per formula unit

=====

# 6
Computed, not measured: an optimized crystal structure of Pu3BiH2 at the PBE-GGA level of DFT.

abc: 4.6493 4.6493 10.7697
angles: 90.00 90.00 90.00
With the nearest neighbours (Å) after each atom.
Sites, in units of the cell vectors:
Pu  0.2500  0.2500  0.2496  2 H 2.23
Pu  0.2500  0.7500  0.0000  4 H 2.37
Pu  0.2500  0.7500  0.5000  4 H 2.37
Pu  0.7500  0.2500  0.0000  4 H 2.37
Pu  0.7500  0.2500  0.5000  4 H 2.37
Pu  0.7500  0.7500  0.7504  2 H 2.23
Bi  0.2500  0.2500  0.7499  2 H 3.15-3.16, 4 Pu 3.29
Bi  0.7500  0.7500  0.2501  2 H 3.15-3.16, 4 Pu 3.29
H  0.2500  0.2500  0.0423  5 Pu 2.23-2.37
H  0.2500  0.2500  0.4568  5 Pu 2.23-2.37
H  0.7500  0.7500  0.5432  5 Pu 2.23-2.37
H  0.7500  0.7500  0.9577  5 Pu 2.23-2.37

Space-group type = P4/nmm (129)
VASP energy = -9.207 eV per atom
Magnetic moment = 6.56 μB per formula unit
Energy relative to the lowest polymorph listed for this composition = 0.0 kJ/mol of formula units